[1]
## LaY6Er3Tm2 (PBE-GGA)

Data for a relaxed structure of LaY6Er3Tm2.

As for the total magnetization: 0.00 μB/f.u. The value obtained for the total energy is -5.50 eV/atom.

The structure belongs to space group C2/m (No. 12); the cell edges are 6.162, 10.664 and 11.800 Å and the angles 90.00°, 99.99° and 90.00°. Symmetry generates all atoms from La at (0.000, 0.000, 0.000), Y at (0.248, 0.333, 0.747), Y at (0.250, 0.000, 0.747), Er at (0.000, 0.167, 0.500), Er at (0.000, 0.500, 0.500) and Tm at (0.000, 0.333, 0.000).

---

[2]
## Rb2MgTe (PBE-GGA)

Data for a relaxed structure of Rb2MgTe.

As for the total magnetization: 0.00 μB/f.u. The value obtained for the total energy is -2.10 eV/atom. The value obtained for the uncorrected formation energy is -430 meV/atom. The value obtained for the energy relative to the lowest polymorph listed for this composition is 0 meV/atom.

The structure belongs to space group Fm-3m (No. 225); the cell edges are 8.830, 8.830 and 8.830 Å and the angles 90.00°, 90.00° and 90.00°. Symmetry generates all atoms from Rb at (0.250, 0.250, 0.250), Mg at (0.000, 0.000, 0.000) and Te at (0.000, 0.000, 0.500).

---

[3]
## MnAg2Se (PBE-GGA)

Data for a relaxed structure of MnAg2Se.

As for the total magnetization: 4.32 μB/f.u. The value obtained for the total energy is -4.54 eV/atom. The value obtained for the uncorrected formation energy is 46 meV/atom.

The structure belongs to space group P4mm (No. 99); the cell edges are 3.430, 3.430 and 6.305 Å and the angles 90.00°, 90.00° and 90.00°. Symmetry generates all atoms from Mn at (0.000, 0.000, 0.000), Ag at (0.000, 0.000, 0.507), Ag at (0.500, 0.500, 0.740) and Se at (0.500, 0.500, 0.183).

---

[4]
## NbAs2W (PBE-GGA)

Data for a relaxed structure of NbAs2W.

As for the total magnetization: 0.00 μB/f.u. The value obtained for the total energy is -7.88 eV/atom. The value obtained for the energy relative to the lowest polymorph listed for this composition is 251 meV/atom.

The structure belongs to space group R-3m (No. 166, hexagonal axes); the cell edges are 3.0377, 3.0377 and 27.3471 Å and the angles 90.00°, 90.00° and 120.00°. Symmetry generates all atoms from Nb at (0.0000, 0.0000, 0.0000), As at (0.0000, 0.0000, 0.0969) and W at (0.0000, 0.0000, 0.5000).

---

[5]
## EuTmSnPb (PBE-GGA)

Data for a relaxed structure of EuTmSnPb.

As for the total magnetization: 7.07 μB/f.u. The value obtained for the total energy is -6.09 eV/atom.

The structure belongs to space group F-43m (No. 216); the cell edges are 7.731, 7.731 and 7.731 Å and the angles 90.00°, 90.00° and 90.00°. Symmetry generates all atoms from Eu at (0.000, 0.000, 0.000), Tm at (0.000, 0.000, 0.500), Sn at (0.250, 0.250, 0.250) and Pb at (0.250, 0.250, 0.750).

---

[6]
## SrHfSO2 (PBE-GGA)

Data for a relaxed structure of SrHfSO2.

As for the total magnetization: 0.00 μB/f.u. The value obtained for the total energy is -8.04 eV/atom. The value obtained for the uncorrected formation energy is -2900 meV/atom.

The structure belongs to space group P4mm (No. 99); the cell edges are 3.987, 3.987 and 5.816 Å and the angles 90.00°, 90.00° and 90.00°. Symmetry generates all atoms from Sr at (0.000, 0.000, 0.000), Hf at (0.500, 0.500, 0.375), S at (0.500, 0.500, 0.794) and O at (0.000, 0.500, 0.281).

---

[7]
## LiPd8Au2 (PBE-GGA)

Data for a relaxed structure of LiPd8Au2.

As for the total magnetization: 0.00 μB/f.u. The value obtained for the total energy is -4.66 eV/atom. The value obtained for the energy relative to the lowest polymorph listed for this composition is 0 meV/atom.

The structure belongs to space group C2/m (No. 12); the cell edges are 14.290, 3.959 and 6.306 Å and the angles 90.00°, 105.82° and 90.00°. Symmetry generates all atoms from Li at (0.000, 0.000, 0.000), Pd at (0.044, 0.500, 0.729), Pd at (0.087, 0.000, 0.445), Pd at (0.131, 0.500, 0.173), Pd at (0.178, 0.000, 0.910) and Au at (0.226, 0.500, 0.639).

---

[8]
## MgScMo3 (PBE-GGA)

Data for a relaxed structure of MgScMo3.

As for the total magnetization: 0.00 μB/f.u. The value obtained for the total energy is -6.33 eV/atom. The value obtained for the energy relative to the lowest polymorph listed for this composition is 0 meV/atom.

The structure belongs to space group Pm-3m (No. 221); the cell edges are 4.677, 4.677 and 4.677 Å and the angles 90.00°, 90.00° and 90.00°. Symmetry generates all atoms from Mg at (0.000, 0.000, 0.000), Sc at (0.500, 0.500, 0.500) and Mo at (0.000, 0.500, 0.500).